No. 1
# Nb2SnB

A relaxed structure of Nb2SnB (PBE, OQMD).

total DFT energy (no corrections) = -65.28 eV per cell

Lattice parameters (Å, degrees): 3.2884 3.2884 14.1481 90.00 90.00 120.00
Space group P6_3/mmc (No. 194)
Symmetry-distinct sites (fractional):
1 Nb 0.3333 0.6667 0.0875 x4
2 Sn 0.3333 0.6667 0.7500 x2
3 B 0.0000 0.0000 0.0000 x2


No. 2
# Pr2Mg3AlNi2

A relaxed structure of Pr2Mg3AlNi2 (PBE, OQMD).

total DFT energy (no corrections) = -63.14 eV per cell

Lattice parameters (Å, degrees): 10.053 4.259 7.900 90.00 90.43 90.00
Space group Cm (No. 8)
Symmetry-distinct sites (fractional):
1 Pr 0.000 0.000 0.000 x2
2 Pr 0.114 0.000 0.517 x2
3 Mg 0.214 0.500 0.208 x2
4 Mg 0.214 0.500 0.815 x2
5 Mg 0.404 0.000 0.319 x2
6 Al 0.400 0.000 0.705 x2
7 Ni 0.290 0.000 0.997 x2
8 Ni 0.344 0.500 0.530 x2


No. 3
# LuCoCuSb

A relaxed structure of LuCoCuSb (PBE, OQMD).

energy above the most stable polymorph in this dataset = 332 meV per atom

Lattice parameters (Å, degrees): 6.618 6.618 6.618 90.00 90.00 90.00
Space group F-43m (No. 216)
Symmetry-distinct sites (fractional):
1 Lu 0.000 0.000 0.000 x4
2 Co 0.250 0.250 0.750 x4
3 Cu 0.000 0.000 0.500 x4
4 Sb 0.250 0.250 0.250 x4


No. 4
# CdPd2Au

A relaxed structure of CdPd2Au (PBE, OQMD).

E_form = -0.311 eV per atom

Lattice parameters (Å, degrees): 4.260 4.260 3.766 90.00 90.00 90.00
Space group P4/mmm (No. 123)
Symmetry-distinct sites (fractional):
1 Cd 0.000 0.000 0.000 x1
2 Pd 0.000 0.500 0.500 x2
3 Au 0.500 0.500 0.000 x1


No. 5
# TcNiAgB

A relaxed structure of TcNiAgB (PBE, OQMD).

energy above the most stable polymorph in this dataset = 156 meV per atom

Lattice parameters (Å, degrees): 5.842 5.842 5.842 90.00 90.00 90.00
Space group F-43m (No. 216)
Symmetry-distinct sites (fractional):
1 Tc 0.000 0.000 0.000 x4
2 Ni 0.000 0.000 0.500 x4
3 Ag 0.250 0.250 0.750 x4
4 B 0.250 0.250 0.250 x4


No. 6
# Sr3Fe2Te7

A relaxed structure of Sr3Fe2Te7 (PBE, OQMD).

total DFT energy (no corrections) = -104.42 eV per cell

Lattice parameters (Å, degrees): 4.726 4.726 32.784 90.00 90.00 90.00
Space group I4/mmm (No. 139)
Symmetry-distinct sites (fractional):
1 Sr 0.000 0.000 0.000 x2
2 Sr 0.000 0.000 0.183 x4
3 Fe 0.000 0.000 0.368 x4
4 Te 0.000 0.000 0.290 x4
5 Te 0.000 0.000 0.500 x2
6 Te 0.000 0.500 0.096 x8


No. 7
# Hf2MgBi

A relaxed structure of Hf2MgBi (PBE, OQMD).

total DFT energy (no corrections) = -96.20 eV per cell

Lattice parameters (Å, degrees): 7.224 7.224 7.224 90.00 90.00 90.00
Space group F-43m (No. 216)
Symmetry-distinct sites (fractional):
1 Hf 0.000 0.000 0.000 x4
2 Hf 0.250 0.250 0.250 x4
3 Mg 0.250 0.250 0.750 x4
4 Bi 0.000 0.000 0.500 x4


No. 8
# SrTmTe3Pd

A relaxed structure of SrTmTe3Pd (PBE, OQMD).

energy above the most stable polymorph in this dataset = 0 meV per atom

Lattice parameters (Å, degrees): 14.439 4.331 11.520 90.00 90.00 90.00
Space group Pnma (No. 62)
Symmetry-distinct sites (fractional):
1 Sr 0.220 0.250 0.050 x4
2 Tm 0.020 0.250 0.328 x4
3 Te 0.100 0.750 0.886 x4
4 Te 0.107 0.250 0.570 x4
5 Te 0.156 0.750 0.260 x4
6 Pd 0.009 0.750 0.095 x4


No. 9
# HoTaNO

A relaxed structure of HoTaNO (PBE, OQMD).

energy above the most stable polymorph in this dataset = 112 meV per atom

Lattice parameters (Å, degrees): 3.404 6.003 5.776 90.00 90.00 90.00
Space group Pmc2_1 (No. 26)
Symmetry-distinct sites (fractional):
1 Ho 0.000 0.170 0.000 x2
2 Ta 0.500 0.392 0.430 x2
3 N 0.000 0.204 0.398 x2
4 O 0.500 0.274 0.782 x2


No. 10
# SrPb2Au

A relaxed structure of SrPb2Au (PBE, OQMD).

total DFT energy (no corrections) = -54.56 eV per cell

Lattice parameters (Å, degrees): 7.683 7.683 7.683 90.00 90.00 90.00
Space group F-43m (No. 216)
Symmetry-distinct sites (fractional):
1 Sr 0.000 0.000 0.000 x4
2 Pb 0.000 0.000 0.500 x4
3 Pb 0.250 0.250 0.750 x4
4 Au 0.250 0.250 0.250 x4


No. 11
# Y3Mg3GaCuAg

A relaxed structure of Y3Mg3GaCuAg (PBE, OQMD).

total DFT energy (no corrections) = -36.72 eV per cell

Lattice parameters (Å, degrees): 7.4416 7.4416 4.2257 90.00 90.00 120.00
Space group P-6 (No. 174)
Symmetry-distinct sites (fractional):
1 Y 0.0080 0.5947 0.0000 x3
2 Mg 0.0005 0.2403 0.5000 x3
3 Ga 0.3333 0.6667 0.5000 x1
4 Cu 0.0000 0.0000 0.0000 x1
5 Ag 0.6667 0.3333 0.5000 x1


No. 12
# YTmAsO

A relaxed structure of YTmAsO (PBE, OQMD).

energy above the most stable polymorph in this dataset = 25 meV per atom

Lattice parameters (Å, degrees): 4.099 7.672 5.760 90.00 90.00 90.00
Space group Pmc2_1 (No. 26)
Symmetry-distinct sites (fractional):
1 Y 0.000 0.118 0.000 x2
2 Tm 0.500 0.286 0.439 x2
3 As 0.500 0.350 0.931 x2
4 O 0.000 0.174 0.387 x2


No. 13
# GdPbNO

A relaxed structure of GdPbNO (PBE, OQMD).

energy above the most stable polymorph in this dataset = 276 meV per atom

Lattice parameters (Å, degrees): 5.059 5.059 5.083 90.00 90.00 90.00
Space group P4/nmm (No. 129, origin choice 2)
Symmetry-distinct sites (fractional):
1 Gd 0.250 0.750 0.000 x2
2 Pb 0.250 0.250 0.499 x2
3 N 0.250 0.250 0.004 x2
4 O 0.250 0.750 0.500 x2


No. 14
# NbNiSbPt

A relaxed structure of NbNiSbPt (PBE, OQMD).

energy above the most stable polymorph in this dataset = 0 meV per atom

Lattice parameters (Å, degrees): 6.437 6.437 6.437 90.00 90.00 90.00
Space group F-43m (No. 216)
Symmetry-distinct sites (fractional):
1 Nb 0.000 0.000 0.000 x4
2 Ni 0.000 0.000 0.500 x4
3 Sb 0.250 0.250 0.250 x4
4 Pt 0.250 0.250 0.750 x4


No. 15
# HfZnTcNi

A relaxed structure of HfZnTcNi (PBE, OQMD).

energy above the most stable polymorph in this dataset = 0 meV per atom
E_form = -0.161 eV per atom

Lattice parameters (Å, degrees): 6.211 6.211 6.211 90.00 90.00 90.00
Space group F-43m (No. 216)
Symmetry-distinct sites (fractional):
1 Hf 0.000 0.000 0.000 x4
2 Zn 0.000 0.000 0.500 x4
3 Tc 0.250 0.250 0.250 x4
4 Ni 0.250 0.250 0.750 x4


No. 16
# SrErAgS3

A relaxed structure of SrErAgS3 (PBE, OQMD).

total DFT energy (no corrections) = -62.06 eV per cell

Lattice parameters (Å, degrees): 7.606 4.001 9.580 90.00 106.07 90.00
Space group P2_1/m (No. 11)
Symmetry-distinct sites (fractional):
1 Sr 0.242 0.250 0.209 x2
2 Er 0.195 0.750 0.652 x2
3 Ag 0.402 0.250 0.906 x2
4 S 0.060 0.750 0.360 x2
5 S 0.211 0.750 0.953 x2
6 S 0.440 0.250 0.654 x2


No. 17
# HfThNp

A relaxed structure of HfThNp (PBE, OQMD).

E_form = 1.027 eV per atom

Lattice parameters (Å, degrees): 7.010 7.010 7.010 90.00 90.00 90.00
Space group F-43m (No. 216)
Symmetry-distinct sites (fractional):
1 Hf 0.000 0.000 0.000 x4
2 Th 0.250 0.250 0.250 x4
3 Np 0.250 0.250 0.750 x4


No. 18
# DyBiN2O

A relaxed structure of DyBiN2O (PBE, OQMD).

total DFT energy (no corrections) = -133.64 eV per cell

Lattice parameters (Å, degrees): 5.873 8.494 5.657 90.00 90.00 90.00
Space group Pnma (No. 62)
Symmetry-distinct sites (fractional):
1 Dy 0.065 0.250 0.026 x4
2 Bi 0.000 0.000 0.500 x4
3 N 0.198 0.577 0.806 x8
4 O 0.066 0.750 0.353 x4


No. 19
# PaTlSi

A relaxed structure of PaTlSi (PBE, OQMD).

energy above the most stable polymorph in this dataset = 0 meV per atom

Lattice parameters (Å, degrees): 6.737 6.737 6.737 90.00 90.00 90.00
Space group F-43m (No. 216)
Symmetry-distinct sites (fractional):
1 Pa 0.000 0.000 0.000 x4
2 Tl 0.000 0.000 0.500 x4
3 Si 0.250 0.250 0.250 x4


No. 20
# MgCoPbW

A relaxed structure of MgCoPbW (PBE, OQMD).

energy above the most stable polymorph in this dataset = 0 meV per atom

Lattice parameters (Å, degrees): 6.485 6.485 6.485 90.00 90.00 90.00
Space group F-43m (No. 216)
Symmetry-distinct sites (fractional):
1 Mg 0.000 0.000 0.000 x4
2 Co 0.000 0.000 0.500 x4
3 Pb 0.250 0.250 0.250 x4
4 W 0.250 0.250 0.750 x4